# RbTePtW, optimized geometry, DFT PBE
# * crystal system: orthorhombic
# * uncorrected formation energy: 0.169 eV/atom
# * offset from the most stable computed form: 80.1 meV per atom
# * total DFT energy (no corrections): -5.61 eV/atom
# * total magnetic moment: 0.00 μB per formula unit
# * calculated density: 9.93 Mg/m³
data_RbTePtW
_chemical_formula_sum 'Rb2 Te2 Pt2 W2'
_symmetry_space_group_name_H-M 'A m m 2'
_symmetry_Int_Tables_number 38
_cell_length_a 3.690
_cell_length_b 3.052
_cell_length_c 17.579
_cell_angle_alpha 90.00
_cell_angle_beta 90.00
_cell_angle_gamma 90.00
loop_
_symmetry_equiv_pos_as_xyz
'x,y,z'
'-x,-y,z'
'-x,y,z'
'x,-y,z'
'x,y+1/2,z+1/2'
'-x,-y+1/2,z+1/2'
'-x,y+1/2,z+1/2'
'x,-y+1/2,z+1/2'
loop_
_atom_site_label
_atom_site_fract_x
_atom_site_fract_y
_atom_site_fract_z
Rb1 0.000 0.000 0.000
Te1 0.500 0.000 0.340
Pt1 0.500 0.000 0.653
W1 0.000 0.000 0.221